Record 1
VASP calculation (PBE) on a relaxed Hf3Ni2Ge3 crystal.

Output
Final energy (eV per cell): -242.2

a = 3.9224 Å, b = 9.9660 Å, c = 13.2330 Å
α = 90.00°, β = 90.00°, γ = 90.00°
With the nearest neighbours (Å) after each atom.
Space group Cmcm (No. 63)
Symmetry-distinct sites (fractional):
1 Hf 0.0000 0.0721 0.1174 (multiplicity 8)  6 Ge 2.75-2.91, 3 Ni 2.87-2.91
2 Hf 0.0000 0.3626 0.2500 (multiplicity 4)  5 Ge 2.78-2.88, 4 Ni 2.94
3 Ni 0.0000 0.2190 0.5960 (multiplicity 8)  4 Ge 2.32-2.44
4 Ge 0.0000 0.3487 0.7500 (multiplicity 4)  2 Ni 2.41
5 Ge 0.0000 0.3827 0.0408 (multiplicity 8)  3 Ni 2.32-2.44, 1 Ge 2.58

Record 2
VASP calculation (PBE) on a relaxed Hf2NiGe2 crystal.

Output
Final energy (eV per cell): -69.0

a = 3.6514 Å, b = 3.6514 Å, c = 13.5129 Å
α = 90.00°, β = 90.00°, γ = 90.00°
With the nearest neighbours (Å) after each atom.
Space group I4/mmm (No. 139)
Symmetry-distinct sites (fractional):
1 Hf 0.0000 0.0000 0.0996 (multiplicity 4)  1 Hf 2.69, 4 Ge 2.73, 4 Ni 2.91
2 Ni 0.0000 0.0000 0.5000 (multiplicity 2)  8 Hf 2.91
3 Ge 0.0000 0.5000 0.2500 (multiplicity 4)  4 Ge 2.58, 4 Hf 2.73

Record 3
VASP calculation (PBE) on a relaxed Hf4NiGe crystal.

Output
Final energy (eV per cell): -105.5

a = 6.4822 Å, b = 6.4822 Å, c = 5.3598 Å
α = 90.00°, β = 90.00°, γ = 90.00°
With the nearest neighbours (Å) after each atom.
Space group I422 (No. 97)
Symmetry-distinct sites (fractional):
1 Hf 0.1598 0.3402 0.2500 (multiplicity 8)  2 Ge 2.78, 2 Ni 2.78, 1 Hf 2.93
2 Ni 0.0000 0.0000 0.5000 (multiplicity 2)  2 Ge 2.68, 8 Hf 2.78
3 Ge 0.0000 0.0000 0.0000 (multiplicity 2)  2 Ni 2.68, 8 Hf 2.78

Record 4
VASP calculation (PBE) on a relaxed Hf6Ni16Ge7 crystal.

Output
Final energy (eV per cell): -794.3

a = 11.6232 Å, b = 11.6232 Å, c = 11.6232 Å
α = 90.00°, β = 90.00°, γ = 90.00°
With the nearest neighbours (Å) after each atom.
Space group Fm-3m (No. 225)
Symmetry-distinct sites (fractional):
1 Hf 0.0000 0.0000 0.2049 (multiplicity 24)  8 Ni 2.78-2.83, 4 Ge 2.95
2 Ni 0.1184 0.1184 0.3816 (multiplicity 32)  4 Ge 2.38-2.56, 3 Ni 2.62
3 Ni 0.1672 0.1672 0.1672 (multiplicity 32)  3 Ge 2.37, 3 Ni 2.62
4 Ge 0.0000 0.0000 0.5000 (multiplicity 4)  8 Ni 2.38
5 Ge 0.0000 0.2500 0.2500 (multiplicity 24)  8 Ni 2.37-2.56

Record 5
VASP calculation (PBE) on a relaxed HfNiGeOs crystal.

Output
Final energy (eV per cell): -124.1

a = 6.2866 Å, b = 6.2866 Å, c = 6.2866 Å
α = 90.00°, β = 90.00°, γ = 90.00°
With the nearest neighbours (Å) after each atom.
Space group F-43m (No. 216)
Symmetry-distinct sites (fractional):
1 Hf 0.0000 0.0000 0.0000 (multiplicity 4)  4 Ge 2.72, 4 Os 2.72
2 Ni 0.0000 0.0000 0.5000 (multiplicity 4)  4 Ge 2.72, 4 Os 2.72
3 Ge 0.2500 0.2500 0.2500 (multiplicity 4)  4 Hf 2.72, 4 Ni 2.72
4 Os 0.2500 0.2500 0.7500 (multiplicity 4)  4 Hf 2.72, 4 Ni 2.72

Record 6
VASP calculation (PBE) on a relaxed HfNiGePd crystal.

Output
Final energy (eV per cell): -109.7

a = 6.2784 Å, b = 6.2784 Å, c = 6.2784 Å
α = 90.00°, β = 90.00°, γ = 90.00°
With the nearest neighbours (Å) after each atom.
Space group F-43m (No. 216)
Symmetry-distinct sites (fractional):
1 Hf 0.0000 0.0000 0.0000 (multiplicity 4)  4 Ni 2.72, 4 Pd 2.72
2 Ni 0.2500 0.2500 0.7500 (multiplicity 4)  4 Ge 2.72, 4 Hf 2.72
3 Ge 0.0000 0.0000 0.5000 (multiplicity 4)  4 Pd 2.72, 4 Ni 2.72
4 Pd 0.2500 0.2500 0.2500 (multiplicity 4)  4 Ge 2.72, 4 Hf 2.72

Record 7
VASP calculation (PBE) on a relaxed HfNiGePd crystal.

Output
Final energy (eV per cell): -107.8

a = 6.3144 Å, b = 6.3144 Å, c = 6.3144 Å
α = 90.00°, β = 90.00°, γ = 90.00°
With the nearest neighbours (Å) after each atom.
Space group F-43m (No. 216)
Symmetry-distinct sites (fractional):
1 Hf 0.0000 0.0000 0.0000 (multiplicity 4)  4 Ge 2.73, 4 Pd 2.73
2 Ni 0.0000 0.0000 0.5000 (multiplicity 4)  4 Pd 2.73, 4 Ge 2.73
3 Ge 0.2500 0.2500 0.2500 (multiplicity 4)  4 Hf 2.73, 4 Ni 2.73
4 Pd 0.2500 0.2500 0.7500 (multiplicity 4)  4 Hf 2.73, 4 Ni 2.73

Record 8
VASP calculation (PBE) on a relaxed Hf2NiGe2Pt crystal.

Output
Final energy (eV per cell): -183.4

a = 7.3882 Å, b = 4.2493 Å, c = 14.1106 Å
α = 90.00°, β = 99.75°, γ = 90.00°
With the nearest neighbours (Å) after each atom.
Space group Pm (No. 6)
Symmetry-distinct sites (fractional):
1 Hf 0.0000 0.0000 0.0000 (multiplicity 1)  1 Ni 2.54, 3 Pt 2.63-2.64
2 Hf 0.0068 0.5000 0.4926 (multiplicity 1)  2 Ni 2.55-2.56, 2 Pt 2.66
3 Hf 0.2363 0.0000 0.7371 (multiplicity 1)  2 Ni 2.56, 2 Pt 2.66-2.68
4 Hf 0.2464 0.5000 0.2421 (multiplicity 1)  4 Ni 2.55-2.59
5 Hf 0.4835 0.0000 0.4846 (multiplicity 1)  2 Ni 2.56, 2 Pt 2.66
6 Hf 0.4989 0.5000 0.9994 (multiplicity 1)  1 Ni 2.53, 3 Pt 2.64
7 Hf 0.7439 0.0000 0.2369 (multiplicity 1)  3 Ni 2.58-2.59, 1 Pt 2.65
8 Hf 0.7562 0.5000 0.7395 (multiplicity 1)  1 Ni 2.55, 3 Pt 2.65-2.67
9 Ni 0.0600 0.5000 0.6766 (multiplicity 1)  4 Hf 2.55-2.56, 4 Ge 2.56-2.57
10 Ni 0.0610 0.0000 0.1825 (multiplicity 1)  4 Ge 2.51-2.58, 4 Hf 2.54-2.59
11 Ni 0.3065 0.5000 0.4257 (multiplicity 1)  4 Hf 2.55-2.56, 4 Ge 2.56-2.58
12 Ni 0.5580 0.5000 0.1816 (multiplicity 1)  4 Ge 2.51-2.60, 4 Hf 2.53-2.59
13 Ge 0.1211 0.5000 0.8610 (multiplicity 1)  1 Ni 2.56, 3 Pt 2.63-2.65
14 Ge 0.1266 0.0000 0.3627 (multiplicity 1)  3 Ni 2.51-2.58, 1 Pt 2.66
15 Ge 0.3624 0.5000 0.6112 (multiplicity 1)  2 Ni 2.56-2.58, 2 Pt 2.64
16 Ge 0.3726 0.0000 0.1241 (multiplicity 1)  3 Ni 2.57-2.58, 1 Pt 2.70
17 Ge 0.6108 0.5000 0.3620 (multiplicity 1)  2 Ni 2.51-2.56, 2 Pt 2.65
18 Ge 0.6209 0.0000 0.8658 (multiplicity 1)  4 Pt 2.62-2.64
19 Ge 0.8755 0.5000 0.1246 (multiplicity 1)  3 Ni 2.58-2.60, 1 Pt 2.69
20 Ge 0.8795 0.0000 0.6165 (multiplicity 1)  2 Ni 2.57, 2 Pt 2.64-2.65
21 Pt 0.3088 0.0000 0.9300 (multiplicity 1)  4 Ge 2.62-2.70, 4 Hf 2.63-2.68
22 Pt 0.5573 0.0000 0.6757 (multiplicity 1)  4 Ge 2.64-2.65, 4 Hf 2.65-2.66
23 Pt 0.8087 0.0000 0.4271 (multiplicity 1)  4 Ge 2.64-2.66, 4 Hf 2.65-2.66
24 Pt 0.8109 0.5000 0.9314 (multiplicity 1)  4 Ge 2.63-2.69, 4 Hf 2.64-2.67

Record 9
VASP calculation (PBE) on a relaxed HfSc2Ni4Ge4 crystal.

Output
Final energy (eV per cell): -142.4

a = 3.9067 Å, b = 6.5761 Å, c = 12.9462 Å
α = 90.00°, β = 90.00°, γ = 90.00°
With the nearest neighbours (Å) after each atom.
Space group Immm (No. 71)
Symmetry-distinct sites (fractional):
1 Hf 0.0000 0.0000 0.0000 (multiplicity 2)  6 Ge 2.78-2.81
2 Sc 0.0000 0.5000 0.1272 (multiplicity 4)  6 Ge 2.81-2.87, 6 Ni 2.85-2.86
3 Ni 0.0000 0.3029 0.3229 (multiplicity 8)  4 Ge 2.39-2.42, 1 Ni 2.59
4 Ge 0.0000 0.0000 0.2169 (multiplicity 4)  6 Ni 2.40-2.42
5 Ge 0.0000 0.2001 0.5000 (multiplicity 4)  2 Ni 2.39, 1 Ge 2.63

Record 10
VASP calculation (PBE) on a relaxed HfScNiGe crystal.

Output
Final energy (eV per cell): -105.6

a = 6.4962 Å, b = 6.4962 Å, c = 6.4962 Å
α = 90.00°, β = 90.00°, γ = 90.00°
With the nearest neighbours (Å) after each atom.
Space group F-43m (No. 216)
Symmetry-distinct sites (fractional):
1 Hf 0.0000 0.0000 0.0000 (multiplicity 4)  4 Ni 2.81, 4 Sc 2.81
2 Sc 0.2500 0.2500 0.2500 (multiplicity 4)  4 Hf 2.81, 4 Ge 2.81
3 Ni 0.2500 0.2500 0.7500 (multiplicity 4)  4 Ge 2.81, 4 Hf 2.81
4 Ge 0.0000 0.0000 0.5000 (multiplicity 4)  4 Sc 2.81, 4 Ni 2.81

Record 11
VASP calculation (PBE) on a relaxed Hf2ScNi4Ge4 crystal.

Output
Final energy (eV per cell): -149.6

a = 3.9124 Å, b = 6.5587 Å, c = 12.9484 Å
α = 90.00°, β = 90.00°, γ = 90.00°
With the nearest neighbours (Å) after each atom.
Space group Immm (No. 71)
Symmetry-distinct sites (fractional):
1 Hf 0.0000 0.0000 0.1276 (multiplicity 4)  6 Ge 2.84-2.87, 6 Ni 2.84-2.85
2 Sc 0.0000 0.5000 0.0000 (multiplicity 2)  6 Ge 2.77-2.78
3 Ni 0.0000 0.2010 0.3223 (multiplicity 8)  4 Ge 2.39-2.41, 1 Ni 2.64
4 Ge 0.0000 0.3016 0.5000 (multiplicity 4)  2 Ni 2.39, 1 Ge 2.60
5 Ge 0.0000 0.5000 0.2137 (multiplicity 4)  6 Ni 2.40-2.41

Record 12
VASP calculation (PBE) on a relaxed Hf2SiNi2Ge crystal.

Output
Final energy (eV per cell): -183.0

a = 10.0795 Å, b = 4.1146 Å, c = 10.0804 Å
α = 90.00°, β = 109.47°, γ = 90.00°
With the nearest neighbours (Å) after each atom.
Space group Pm (No. 6)
Symmetry-distinct sites (fractional):
1 Hf 0.0000 0.0000 0.0000 (multiplicity 1)  4 Ni 2.51
2 Hf 0.1218 0.5000 0.3704 (multiplicity 1)  4 Ni 2.50-2.54
3 Hf 0.2474 0.0000 0.7479 (multiplicity 1)  4 Ni 2.49-2.56
4 Hf 0.3723 0.5000 0.1249 (multiplicity 1)  4 Ni 2.50-2.52
5 Hf 0.4980 0.0000 0.4967 (multiplicity 1)  4 Ni 2.48-2.52
6 Hf 0.6240 0.5000 0.8741 (multiplicity 1)  4 Ni 2.54-2.56
7 Hf 0.7469 0.0000 0.2481 (multiplicity 1)  4 Ni 2.50-2.52
8 Hf 0.8741 0.5000 0.6232 (multiplicity 1)  4 Ni 2.51-2.54
9 Si 0.1234 0.5000 0.8735 (multiplicity 1)  4 Ni 2.48-2.52
10 Si 0.2482 0.0000 0.2485 (multiplicity 1)  4 Ni 2.47-2.52
11 Si 0.6232 0.5000 0.3734 (multiplicity 1)  4 Ni 2.48-2.51
12 Si 0.8728 0.5000 0.1232 (multiplicity 1)  4 Ni 2.50-2.53
13 Ni 0.0015 0.0000 0.7518 (multiplicity 1)  4 Hf 2.49-2.54, 2 Si 2.50, 2 Ge 2.54-2.55
14 Ni 0.1233 0.5000 0.1232 (multiplicity 1)  4 Hf 2.50-2.51, 4 Si 2.52-2.53
15 Ni 0.2474 0.0000 0.4936 (multiplicity 1)  1 Si 2.47, 4 Hf 2.52-2.56, 3 Ge 2.53-2.54
16 Ni 0.3698 0.5000 0.8738 (multiplicity 1)  1 Si 2.48, 4 Hf 2.51-2.56, 3 Ge 2.53-2.54
17 Ni 0.4974 0.0000 0.2509 (multiplicity 1)  4 Hf 2.48-2.52, 3 Si 2.50-2.51, 1 Ge 2.55
18 Ni 0.6238 0.5000 0.6201 (multiplicity 1)  1 Si 2.48, 4 Hf 2.51-2.56, 3 Ge 2.53-2.54
19 Ni 0.7516 0.0000 0.0015 (multiplicity 1)  2 Si 2.50, 4 Hf 2.50-2.54, 2 Ge 2.54-2.55
20 Ni 0.8694 0.5000 0.3697 (multiplicity 1)  2 Si 2.49-2.50, 4 Hf 2.50-2.54, 2 Ge 2.54
21 Ge 0.3729 0.5000 0.6226 (multiplicity 1)  4 Ni 2.54
22 Ge 0.4977 0.0000 0.9984 (multiplicity 1)  4 Ni 2.53-2.55
23 Ge 0.7486 0.0000 0.7484 (multiplicity 1)  4 Ni 2.53-2.54
24 Ge 0.9979 0.0000 0.4976 (multiplicity 1)  4 Ni 2.53-2.55

Record 13
VASP calculation (PBE) on a relaxed YHfNiGe crystal.

Output
Final energy (eV per cell): -103.6

a = 6.7080 Å, b = 6.7080 Å, c = 6.7080 Å
α = 90.00°, β = 90.00°, γ = 90.00°
With the nearest neighbours (Å) after each atom.
Space group F-43m (No. 216)
Symmetry-distinct sites (fractional):
1 Y 0.0000 0.0000 0.0000 (multiplicity 4)  4 Hf 2.90, 4 Ni 2.90
2 Hf 0.2500 0.2500 0.2500 (multiplicity 4)  4 Ge 2.90, 4 Y 2.90
3 Ni 0.2500 0.2500 0.7500 (multiplicity 4)  4 Ge 2.90, 4 Y 2.90
4 Ge 0.0000 0.0000 0.5000 (multiplicity 4)  4 Hf 2.90, 4 Ni 2.90

Record 14
VASP calculation (PBE) on a relaxed HfZnNiGe crystal.

Output
Final energy (eV per cell): -88.2

a = 6.2829 Å, b = 6.2829 Å, c = 6.2829 Å
α = 90.00°, β = 90.00°, γ = 90.00°
With the nearest neighbours (Å) after each atom.
Space group F-43m (No. 216)
Symmetry-distinct sites (fractional):
1 Hf 0.0000 0.0000 0.0000 (multiplicity 4)  4 Ge 2.72, 4 Zn 2.72
2 Zn 0.2500 0.2500 0.7500 (multiplicity 4)  4 Hf 2.72, 4 Ni 2.72
3 Ni 0.0000 0.0000 0.5000 (multiplicity 4)  4 Ge 2.72, 4 Zn 2.72
4 Ge 0.2500 0.2500 0.2500 (multiplicity 4)  4 Hf 2.72, 4 Ni 2.72

Record 15
VASP calculation (PBE) on a relaxed HfZrNi2Ge2 crystal.

Output
Final energy (eV per cell): -162.3

a = 8.4844 Å, b = 4.2347 Å, c = 12.7144 Å
α = 90.00°, β = 109.41°, γ = 90.00°
With the nearest neighbours (Å) after each atom.
Space group Pm (No. 6)
Symmetry-distinct sites (fractional):
1 Hf 0.0000 0.0000 0.0000 (multiplicity 1)  4 Ge 2.59
2 Hf 0.1247 0.5000 0.7500 (multiplicity 1)  4 Ge 2.59
3 Hf 0.2498 0.0000 0.4997 (multiplicity 1)  4 Ge 2.59
4 Hf 0.7488 0.0000 0.5000 (multiplicity 1)  4 Ge 2.59
5 Zr 0.3738 0.5000 0.2496 (multiplicity 1)  4 Ge 2.60
6 Zr 0.4983 0.0000 0.9984 (multiplicity 1)  4 Ge 2.60
7 Zr 0.6228 0.5000 0.7485 (multiplicity 1)  4 Ge 2.60
8 Zr 0.8749 0.5000 0.2500 (multiplicity 1)  4 Ge 2.60-2.61
9 Ni 0.0009 0.5000 0.5025 (multiplicity 1)  4 Ge 2.56-2.60
10 Ni 0.1245 0.0000 0.2497 (multiplicity 1)  4 Ge 2.60-2.61
11 Ni 0.2414 0.5000 0.9963 (multiplicity 1)  4 Ge 2.57-2.67
12 Ni 0.3662 0.0000 0.7464 (multiplicity 1)  4 Ge 2.58-2.68
13 Ni 0.4993 0.5000 0.4999 (multiplicity 1)  4 Ge 2.59-2.61
14 Ni 0.6260 0.0000 0.2531 (multiplicity 1)  4 Ge 2.58-2.62
15 Ni 0.7554 0.5000 0.9996 (multiplicity 1)  4 Ge 2.55-2.64
16 Ni 0.8799 0.0000 0.7493 (multiplicity 1)  4 Ge 2.55-2.62
17 Ge 0.0616 0.5000 0.1240 (multiplicity 1)  4 Ni 2.55-2.60, 2 Hf 2.59, 2 Zr 2.60
18 Ge 0.1852 0.0000 0.8741 (multiplicity 1)  4 Ni 2.55-2.58, 3 Hf 2.59, 1 Zr 2.60
19 Ge 0.3097 0.5000 0.6238 (multiplicity 1)  4 Ni 2.56-2.60, 3 Hf 2.59, 1 Zr 2.60
20 Ge 0.4375 0.0000 0.3758 (multiplicity 1)  4 Ni 2.58-2.61, 2 Hf 2.59, 2 Zr 2.60
21 Ge 0.5620 0.5000 0.1244 (multiplicity 1)  4 Zr 2.60, 4 Ni 2.62-2.67
22 Ge 0.6888 0.0000 0.8745 (multiplicity 1)  1 Hf 2.59, 4 Ni 2.59-2.68, 3 Zr 2.60
23 Ge 0.8133 0.5000 0.6247 (multiplicity 1)  4 Ni 2.57-2.61, 3 Hf 2.59, 1 Zr 2.60
24 Ge 0.9379 0.0000 0.3767 (multiplicity 1)  2 Hf 2.59, 4 Ni 2.59-2.61, 2 Zr 2.61

Record 16
VASP calculation (PBE) on a relaxed Hf2ZrNi4Ge4 crystal.

Output
Final energy (eV per cell): -154.0

a = 3.9179 Å, b = 6.5305 Å, c = 12.9504 Å
α = 90.00°, β = 90.00°, γ = 90.00°
With the nearest neighbours (Å) after each atom.
Space group Immm (No. 71)
Symmetry-distinct sites (fractional):
1 Hf 0.0000 0.0000 0.1277 (multiplicity 4)  6 Ge 2.84-2.88, 6 Ni 2.84-2.85
2 Zr 0.0000 0.5000 0.0000 (multiplicity 2)  6 Ge 2.77
3 Ni 0.0000 0.1999 0.3236 (multiplicity 8)  4 Ge 2.38-2.42, 1 Ni 2.61
4 Ge 0.0000 0.3008 0.5000 (multiplicity 4)  2 Ni 2.38, 1 Ge 2.60
5 Ge 0.0000 0.5000 0.2137 (multiplicity 4)  6 Ni 2.40-2.42

Record 17
VASP calculation (PBE) on a relaxed HfNpGe crystal.

Output
Final energy (eV per cell): -107.7

a = 6.6039 Å, b = 6.6039 Å, c = 6.6039 Å
α = 90.00°, β = 90.00°, γ = 90.00°
With the nearest neighbours (Å) after each atom.
Space group F-43m (No. 216)
Symmetry-distinct sites (fractional):
1 Hf 0.0000 0.0000 0.0000 (multiplicity 4)  4 Ge 2.86
2 Np 0.0000 0.0000 0.5000 (multiplicity 4)  4 Ge 2.86
3 Ge 0.2500 0.2500 0.2500 (multiplicity 4)  4 Np 2.86, 4 Hf 2.86

Record 18
VASP calculation (PBE) on a relaxed Hf2Ge2O5 crystal.

Output
Final energy (eV per cell): -71.4

a = 4.0629 Å, b = 4.0629 Å, c = 7.8140 Å
α = 90.00°, β = 90.00°, γ = 90.00°
With the nearest neighbours (Å) after each atom.
Space group P4/mmm (No. 123)
Symmetry-distinct sites (fractional):
1 Hf 0.0000 0.0000 0.2453 (multiplicity 2)  5 O 1.99-2.03
2 Ge 0.5000 0.5000 0.0000 (multiplicity 1)  8 O 2.82
3 Ge 0.5000 0.5000 0.5000 (multiplicity 1)  12 O 2.82-2.87
4 O 0.0000 0.0000 0.5000 (multiplicity 1)  2 Hf 1.99
5 O 0.0000 0.5000 0.2500 (multiplicity 4)  2 Hf 2.03

Record 19
VASP calculation (PBE) on a relaxed Hf2Ge2O5 crystal.

Output
Final energy (eV per cell): -64.6

a = 4.0415 Å, b = 4.0415 Å, c = 6.0837 Å
α = 90.00°, β = 90.00°, γ = 90.00°
With the nearest neighbours (Å) after each atom.
Space group P4/mmm (No. 123)
Symmetry-distinct sites (fractional):
1 Hf 0.0000 0.0000 0.0000 (multiplicity 1)  8 O 2.49
2 Hf 0.0000 0.0000 0.5000 (multiplicity 1)  12 O 2.57-2.86
3 Ge 0.5000 0.5000 0.1995 (multiplicity 2)  5 O 1.83-2.04
4 O 0.0000 0.5000 0.2393 (multiplicity 4)  2 Ge 2.04
5 O 0.5000 0.5000 0.5000 (multiplicity 1)  2 Ge 1.83